No. 1
# TaZnSb2 meta-GGA SCAN PBEsol geometry
data_TaZnSb2
_chemical_formula_sum 'Ta2 Zn2 Sb4'
_symmetry_space_group_name_H-M 'C 1 2/m 1'
_symmetry_Int_Tables_number 12
_cell_length_a 9.702
_cell_length_b 3.148
_cell_length_c 5.313
_cell_angle_alpha 90.00
_cell_angle_beta 95.42
_cell_angle_gamma 90.00
loop_
_symmetry_equiv_pos_as_xyz
'x,y,z'
'-x,-y,-z'
'-x,y,-z'
'x,-y,z'
'x+1/2,y+1/2,z'
'-x+1/2,-y+1/2,-z'
'-x+1/2,y+1/2,-z'
'x+1/2,-y+1/2,z'
loop_
_atom_site_label
_atom_site_type_symbol
_atom_site_fract_x
_atom_site_fract_y
_atom_site_fract_z
_atom_site_occupancy
Ta1 Ta 0.000 0.000 0.000 1
Zn1 Zn 0.000 0.500 0.500 1
Sb1 Sb 0.230 0.500 0.238 1
# V (A^3/atom): 20.20
# DFT total energy (eV per atom): -38.316

---

No. 2
# TaZnSb2 meta-GGA SCAN PBEsol geometry
data_TaZnSb2
_chemical_formula_sum 'Ta1 Zn1 Sb2'
_symmetry_space_group_name_H-M 'P m m m'
_symmetry_Int_Tables_number 47
_cell_length_a 3.439
_cell_length_b 4.632
_cell_length_c 5.054
_cell_angle_alpha 90.00
_cell_angle_beta 90.00
_cell_angle_gamma 90.00
loop_
_symmetry_equiv_pos_as_xyz
'x,y,z'
'-x,-y,-z'
'-x,-y,z'
'x,y,-z'
'x,-y,-z'
'-x,y,z'
'-x,y,-z'
'x,-y,z'
loop_
_atom_site_label
_atom_site_type_symbol
_atom_site_fract_x
_atom_site_fract_y
_atom_site_fract_z
_atom_site_occupancy
Ta1 Ta 0.000 0.000 0.000 1
Zn1 Zn 0.500 0.000 0.500 1
Sb1 Sb 0.000 0.500 0.500 1
Sb2 Sb 0.500 0.500 0.000 1
# V (A^3/atom): 20.13
# DFT total energy (eV per atom): -38.128

---

No. 3
# TaZnSb meta-GGA SCAN PBEsol geometry
data_TaZnSb
_chemical_formula_sum 'Ta2 Zn2 Sb2'
_symmetry_space_group_name_H-M 'I 4 m m'
_symmetry_Int_Tables_number 107
_symmetry_space_group_name_Hall 'I 4 -2'
_cell_length_a 3.452
_cell_length_b 3.452
_cell_length_c 9.021
_cell_angle_alpha 90.00
_cell_angle_beta 90.00
_cell_angle_gamma 90.00
loop_
_atom_site_label
_atom_site_type_symbol
_atom_site_fract_x
_atom_site_fract_y
_atom_site_fract_z
_atom_site_occupancy
Ta1 Ta 0.000 0.000 0.000 1
Zn1 Zn 0.000 0.000 0.657 1
Sb1 Sb 0.000 0.000 0.331 1
# V (A^3/atom): 17.92
# DFT total energy (eV per atom): -38.942

---

No. 4
# ZrTa2Sb meta-GGA SCAN PBEsol geometry
data_ZrTa2Sb
_chemical_formula_sum 'Zr2 Ta4 Sb2'
_symmetry_space_group_name_H-M 'I -4 m 2'
_symmetry_Int_Tables_number 119
_symmetry_space_group_name_Hall 'I -4 -2'
_cell_length_a 4.276
_cell_length_b 4.276
_cell_length_c 8.435
_cell_angle_alpha 90.00
_cell_angle_beta 90.00
_cell_angle_gamma 90.00
loop_
_atom_site_label
_atom_site_type_symbol
_atom_site_fract_x
_atom_site_fract_y
_atom_site_fract_z
_atom_site_occupancy
Zr1 Zr 0.000 0.000 0.000 1
Ta1 Ta 0.000 0.000 0.500 1
Ta2 Ta 0.000 0.500 0.750 1
Sb1 Sb 0.000 0.500 0.250 1
# V (A^3/atom): 19.28
# DFT total energy (eV per atom): -50.347

---

No. 5
# ZrTa2Sb meta-GGA SCAN PBEsol geometry
data_ZrTa2Sb
_chemical_formula_sum 'Zr1 Ta2 Sb1'
_symmetry_space_group_name_H-M 'P 4 m m'
_symmetry_Int_Tables_number 99
_cell_length_a 2.986
_cell_length_b 2.986
_cell_length_c 8.937
_cell_angle_alpha 90.00
_cell_angle_beta 90.00
_cell_angle_gamma 90.00
loop_
_symmetry_equiv_pos_as_xyz
'x,y,z'
'-y,x,z'
'-x,-y,z'
'y,-x,z'
'-x,y,z'
'y,x,z'
'x,-y,z'
'-y,-x,z'
loop_
_atom_site_label
_atom_site_type_symbol
_atom_site_fract_x
_atom_site_fract_y
_atom_site_fract_z
_atom_site_occupancy
Zr1 Zr 0.000 0.000 0.000 1
Ta1 Ta 0.000 0.000 0.505 1
Ta2 Ta 0.500 0.500 0.750 1
Sb1 Sb 0.500 0.500 0.266 1
# V (A^3/atom): 19.92
# DFT total energy (eV per atom): -50.085

---

No. 6
# ZrTa2Sb meta-GGA SCAN PBEsol geometry
data_ZrTa2Sb
_chemical_formula_sum 'Zr1 Ta2 Sb1'
_symmetry_space_group_name_H-M 'P m m m'
_symmetry_Int_Tables_number 47
_cell_length_a 3.800
_cell_length_b 4.405
_cell_length_c 4.564
_cell_angle_alpha 90.00
_cell_angle_beta 90.00
_cell_angle_gamma 90.00
loop_
_symmetry_equiv_pos_as_xyz
'x,y,z'
'-x,-y,-z'
'-x,-y,z'
'x,y,-z'
'x,-y,-z'
'-x,y,z'
'-x,y,-z'
'x,-y,z'
loop_
_atom_site_label
_atom_site_type_symbol
_atom_site_fract_x
_atom_site_fract_y
_atom_site_fract_z
_atom_site_occupancy
Zr1 Zr 0.000 0.000 0.000 1
Ta1 Ta 0.000 0.500 0.500 1
Ta2 Ta 0.500 0.000 0.500 1
Sb1 Sb 0.500 0.500 0.000 1
# V (A^3/atom): 19.10
# DFT total energy (eV per atom): -50.464

---

No. 7
# Tb2Sb5 meta-GGA SCAN PBEsol geometry
data_Tb2Sb5
_chemical_formula_sum 'Tb8 Sb20'
_symmetry_space_group_name_H-M 'P 1 21/m 1'
_symmetry_Int_Tables_number 11
_cell_length_a 13.042
_cell_length_b 4.149
_cell_length_c 14.461
_cell_angle_alpha 90.00
_cell_angle_beta 101.87
_cell_angle_gamma 90.00
loop_
_symmetry_equiv_pos_as_xyz
'x,y,z'
'-x,-y,-z'
'-x,y+1/2,-z'
'x,-y+1/2,z'
loop_
_atom_site_label
_atom_site_type_symbol
_atom_site_fract_x
_atom_site_fract_y
_atom_site_fract_z
_atom_site_occupancy
Tb1 Tb 0.047 0.250 0.362 1
Tb2 Tb 0.332 0.250 0.578 1
Tb3 Tb 0.337 0.250 0.856 1
Tb4 Tb 0.391 0.750 0.229 1
Sb1 Sb 0.031 0.250 0.085 1
Sb2 Sb 0.139 0.250 0.679 1
Sb3 Sb 0.142 0.750 0.222 1
Sb4 Sb 0.145 0.750 0.519 1
Sb5 Sb 0.150 0.750 0.831 1
Sb6 Sb 0.277 0.250 0.064 1
Sb7 Sb 0.282 0.250 0.346 1
Sb8 Sb 0.420 0.750 0.024 1
Sb9 Sb 0.426 0.750 0.735 1
Sb10 Sb 0.427 0.750 0.449 1
# V (A^3/atom): 27.35
# DFT total energy (eV per atom): -40.697

---

No. 8
# TbSb meta-GGA SCAN PBEsol geometry
data_TbSb
_chemical_formula_sum 'Tb4 Sb4'
_symmetry_space_group_name_H-M 'F m -3 m'
_symmetry_Int_Tables_number 225
_symmetry_space_group_name_Hall '-F 4 2 3'
_cell_length_a 6.125
_cell_length_b 6.125
_cell_length_c 6.125
_cell_angle_alpha 90.00
_cell_angle_beta 90.00
_cell_angle_gamma 90.00
loop_
_atom_site_label
_atom_site_type_symbol
_atom_site_fract_x
_atom_site_fract_y
_atom_site_fract_z
_atom_site_occupancy
Tb1 Tb 0.000 0.000 0.000 1
Sb1 Sb 0.000 0.000 0.500 1
# V (A^3/atom): 28.72
# DFT total energy (eV per atom): -43.259

---

No. 9
# Tb4Sb3 meta-GGA SCAN PBEsol geometry
data_Tb4Sb3
_chemical_formula_sum 'Tb16 Sb12'
_symmetry_space_group_name_H-M 'I -4 3 d'
_symmetry_Int_Tables_number 220
_symmetry_space_group_name_Hall 'I -4bd 2c 3'
_cell_length_a 9.090
_cell_length_b 9.090
_cell_length_c 9.090
_cell_angle_alpha 90.00
_cell_angle_beta 90.00
_cell_angle_gamma 90.00
loop_
_atom_site_label
_atom_site_type_symbol
_atom_site_fract_x
_atom_site_fract_y
_atom_site_fract_z
_atom_site_occupancy
Tb1 Tb 0.072 0.428 0.572 1
Sb1 Sb 0.000 0.250 0.875 1
# V (A^3/atom): 26.82
# DFT total energy (eV per atom): -43.786

---

No. 10
# TbSb2 meta-GGA SCAN PBEsol geometry
data_TbSb2
_chemical_formula_sum 'Tb8 Sb16'
_symmetry_space_group_name_H-M 'C m c e'
_symmetry_Int_Tables_number 64
_symmetry_space_group_name_Hall '-C 2ac 2'
_cell_length_a 6.116
_cell_length_b 5.992
_cell_length_c 17.470
_cell_angle_alpha 90.00
_cell_angle_beta 90.00
_cell_angle_gamma 90.00
loop_
_atom_site_label
_atom_site_type_symbol
_atom_site_fract_x
_atom_site_fract_y
_atom_site_fract_z
_atom_site_occupancy
Tb1 Tb 0.000 0.145 0.110 1
Sb1 Sb 0.000 0.143 0.435 1
Sb2 Sb 0.250 0.120 0.750 1
# V (A^3/atom): 26.68
# DFT total energy (eV per atom): -41.249

---

No. 11
# Tb2ZnSb4 meta-GGA SCAN PBEsol geometry
data_Tb2ZnSb4
_chemical_formula_sum 'Tb2 Zn1 Sb4'
_symmetry_space_group_name_H-M 'P -4 m 2'
_symmetry_Int_Tables_number 115
_cell_length_a 4.275
_cell_length_b 4.275
_cell_length_c 9.685
_cell_angle_alpha 90.00
_cell_angle_beta 90.00
_cell_angle_gamma 90.00
loop_
_symmetry_equiv_pos_as_xyz
'x,y,z'
'y,-x,-z'
'-x,-y,z'
'-y,x,-z'
'-x,y,z'
'-y,-x,-z'
'x,-y,z'
'y,x,-z'
loop_
_atom_site_label
_atom_site_type_symbol
_atom_site_fract_x
_atom_site_fract_y
_atom_site_fract_z
_atom_site_occupancy
Tb1 Tb 0.000 0.500 0.250 1
Zn1 Zn 0.000 0.000 0.000 1
Sb1 Sb 0.000 0.000 0.500 1
Sb2 Sb 0.000 0.500 0.840 1
Sb3 Sb 0.500 0.500 0.500 1
# V (A^3/atom): 25.28
# DFT total energy (eV per atom): -37.330

---

No. 12
# TcSb3 meta-GGA SCAN PBEsol geometry
data_TcSb3
_chemical_formula_sum 'Tc1 Sb3'
_symmetry_space_group_name_H-M 'P m -3 m'
_symmetry_Int_Tables_number 221
_symmetry_space_group_name_Hall '-P 4 2 3'
_cell_length_a 5.146
_cell_length_b 5.146
_cell_length_c 5.146
_cell_angle_alpha 90.00
_cell_angle_beta 90.00
_cell_angle_gamma 90.00
loop_
_atom_site_label
_atom_site_type_symbol
_atom_site_fract_x
_atom_site_fract_y
_atom_site_fract_z
_atom_site_occupancy
Tc1 Tc 0.000 0.000 0.000 1
Sb1 Sb 0.000 0.000 0.500 1
# V (A^3/atom): 34.06
# DFT total energy (eV per atom): -36.047
# Polymorph energy (0 for the lowest one) (eV/atom): 0.627

---

No. 13
# TcSb2 meta-GGA SCAN PBEsol geometry
data_TcSb2
_chemical_formula_sum 'Tc4 Sb8'
_symmetry_space_group_name_H-M 'C 1 2/m 1'
_symmetry_Int_Tables_number 12
_cell_length_a 13.843
_cell_length_b 3.272
_cell_length_c 6.461
_cell_angle_alpha 90.00
_cell_angle_beta 117.65
_cell_angle_gamma 90.00
loop_
_symmetry_equiv_pos_as_xyz
'x,y,z'
'-x,-y,-z'
'-x,y,-z'
'x,-y,z'
'x+1/2,y+1/2,z'
'-x+1/2,-y+1/2,-z'
'-x+1/2,y+1/2,-z'
'x+1/2,-y+1/2,z'
loop_
_atom_site_label
_atom_site_type_symbol
_atom_site_fract_x
_atom_site_fract_y
_atom_site_fract_z
_atom_site_occupancy
Tc1 Tc 0.241 0.000 0.173 1
Sb1 Sb 0.083 0.500 0.893 1
Sb2 Sb 0.142 0.000 0.457 1
# V (A^3/atom): 21.60
# DFT total energy (eV per atom): -36.563
# Polymorph energy (0 for the lowest one) (eV/atom): 0.000

---

No. 14
# TcSb2 meta-GGA SCAN PBEsol geometry
data_TcSb2
_chemical_formula_sum 'Tc4 Sb8'
_symmetry_space_group_name_H-M 'I 41/a m d'
_symmetry_Int_Tables_number 141
_cell_length_a 3.219
_cell_length_b 3.219
_cell_length_c 24.694
_cell_angle_alpha 90.00
_cell_angle_beta 90.00
_cell_angle_gamma 90.00
loop_
_symmetry_equiv_pos_as_xyz
'x,y,z'
'-x,-y,-z'
'-y+1/4,x+3/4,z+1/4'
'y+1/4,-x+3/4,-z+1/4'
'-x+1/2,-y,z+1/2'
'x+1/2,y,-z+1/2'
'y+1/4,-x+1/4,z+3/4'
'-y+1/4,x+1/4,-z+3/4'
'x,-y,-z'
'-x,y,z'
'-y+1/4,-x+1/4,-z+3/4'
'y+1/4,x+1/4,z+3/4'
'-x+1/2,y,-z+1/2'
'x+1/2,-y,z+1/2'
'y+1/4,x+3/4,-z+1/4'
'-y+1/4,-x+3/4,z+1/4'
'x+1/2,y+1/2,z+1/2'
'-x+1/2,-y+1/2,-z+1/2'
'-y+3/4,x+1/4,z+3/4'
'y+3/4,-x+1/4,-z+3/4'
'-x,-y+1/2,z'
'x,y+1/2,-z'
'y+3/4,-x+3/4,z+1/4'
'-y+3/4,x+3/4,-z+1/4'
'x+1/2,-y+1/2,-z+1/2'
'-x+1/2,y+1/2,z+1/2'
'-y+3/4,-x+3/4,-z+1/4'
'y+3/4,x+3/4,z+1/4'
'-x,y+1/2,-z'
'x,-y+1/2,z'
'y+3/4,x+1/4,-z+3/4'
'-y+3/4,-x+1/4,z+3/4'
loop_
_atom_site_label
_atom_site_type_symbol
_atom_site_fract_x
_atom_site_fract_y
_atom_site_fract_z
_atom_site_occupancy
Tc1 Tc 0.000 0.250 0.375 1
Sb1 Sb 0.000 0.250 0.810 1
# V (A^3/atom): 21.32
# DFT total energy (eV per atom): -36.507
# Polymorph energy (0 for the lowest one) (eV/atom): 0.056

---

For reference, formation energy without anion corrections by record: 0.34, 0.53, 0.18, -0.07, 0.20, -0.18, -0.72, -1.25, -1.10, -0.82, -0.75, 0.66, -0.04, 0.02 eV per atom.